VASP calculation (PBE+U) on a relaxed NaTbWO5 crystal. Values from VASP.

The structure in Quantum ESPRESSO input format:
```
&SYSTEM
  ibrav = 0, nat = 16, ntyp = 4
/
ATOMIC_SPECIES
Na 22.99 Na.upf
Tb 158.93 Tb.upf
W 183.84 W.upf
O 16.00 O.upf
CELL_PARAMETERS angstrom
3.581 -5.175 0.000
3.581 5.175 0.000
-3.106 0.000 7.425
ATOMIC_POSITIONS crystal
Na 0.208 0.792 0.750
Na 0.792 0.208 0.250
Tb 0.500 0.500 0.000
Tb 0.500 0.500 0.500
W 0.194 0.806 0.250
W 0.806 0.194 0.750
O 0.084 0.269 0.923
O 0.168 0.572 0.355
O 0.269 0.084 0.423
O 0.422 0.578 0.750
O 0.428 0.832 0.145
O 0.572 0.168 0.855
O 0.578 0.422 0.250
O 0.731 0.916 0.577
O 0.832 0.428 0.645
O 0.916 0.731 0.077
```

Output
space group = C2/c, No. 15
spin magnetization = 0.00 μB/f.u.
calculated volume = 275.3 Å³ per cell
DFT total energy = -7.128 eV per atom